Material: Pr3Cd2
Method: DFT, PBE
State: relaxed

Unit cell a=3.839 b=3.839 c=20.856 alpha=90.00 beta=90.00 gamma=90.00
Fractional positions:
Pr1 0.000 0.000 0.878
Pr2 0.000 0.000 0.122
Pr3 0.000 0.000 0.312
Pr4 0.000 0.000 0.500
Pr5 0.000 0.000 0.688
Pr6 0.500 0.500 0.000
Cd1 0.500 0.500 0.215
Cd2 0.500 0.500 0.406
Cd3 0.500 0.500 0.594
Cd4 0.500 0.500 0.785

## Properties
ΔH_f (0 K) ... -249 meV/atom
ρ ... 7.0 g/cm³
Offset from the most stable computed form ... 0 meV/atom
Space-group type ... P4/mmm
Volume ... 30.7 Å³ per atom
Final energy ... -34.8 eV for the cell shown